1.
Compound: BaHgRu
Source: the Alexandria database
Functional: PBE-GGA
Structure: relaxed

Summary:
ΔH_f (0 K): 0.52 eV/atom
Distance to the lowest polymorph of the same formula: 221 meV per atom
Symmetry: F-43m

Geometry as CIF:
```
data_BaHgRu
_chemical_formula_sum 'Ba1 Hg1 Ru1'
_cell_length_a 4.931
_cell_length_b 4.931
_cell_length_c 4.931
_cell_angle_alpha 60.00
_cell_angle_beta 60.00
_cell_angle_gamma 60.00
_symmetry_space_group_name_H-M 'P 1'
_symmetry_Int_Tables_number 1
_symmetry_space_group_name_Hall 'P 1'
loop_
_atom_site_label
_atom_site_type_symbol
_atom_site_fract_x
_atom_site_fract_y
_atom_site_fract_z
Ba1 Ba 0.000 0.000 0.000
Hg1 Hg 0.500 0.500 0.500
Ru1 Ru 0.250 0.250 0.250
```



2.
Compound: Hf2BePRh
Source: the Alexandria database
Functional: PBE-GGA
Structure: relaxed

Summary:
ΔH_f (0 K): 0.10 eV/atom
Symmetry: P4/mmm

Geometry as CIF:
```
data_Hf2BePRh
_chemical_formula_sum 'Hf2 Be1 P1 Rh1'
_cell_length_a 4.767
_cell_length_b 4.321
_cell_length_c 4.767
_cell_angle_alpha 90.00
_cell_angle_beta 90.00
_cell_angle_gamma 90.00
_symmetry_space_group_name_H-M 'P 1'
_symmetry_Int_Tables_number 1
_symmetry_space_group_name_Hall 'P 1'
loop_
_atom_site_label
_atom_site_type_symbol
_atom_site_fract_x
_atom_site_fract_y
_atom_site_fract_z
Rh1 Rh 0.000 0.500 0.000
Hf1 Hf 0.000 0.000 0.500
Hf2 Hf 0.500 0.000 0.000
Be1 Be 0.500 0.500 0.500
P1 P 0.000 0.000 0.000
```



3.
Compound: Mg4Pd15Pt
Source: the Alexandria database
Functional: PBE-GGA
Structure: relaxed

Summary:
ΔH_f (0 K): -0.39 eV/atom
Symmetry: P4/mmm

Geometry as CIF:
```
data_Mg4Pd15Pt
_chemical_formula_sum 'Mg4 Pd15 Pt1'
_cell_length_a 3.961
_cell_length_b 3.961
_cell_length_c 19.950
_cell_angle_alpha 90.00
_cell_angle_beta 90.00
_cell_angle_gamma 90.00
_symmetry_space_group_name_H-M 'P 1'
_symmetry_Int_Tables_number 1
_symmetry_space_group_name_Hall 'P 1'
loop_
_atom_site_label
_atom_site_type_symbol
_atom_site_fract_x
_atom_site_fract_y
_atom_site_fract_z
Mg1 Mg 0.000 0.000 0.200
Mg2 Mg 0.000 0.000 0.399
Mg3 Mg 0.000 0.000 0.601
Mg4 Mg 0.000 0.000 0.800
Pd1 Pd 0.500 0.500 0.000
Pd2 Pd 0.500 0.500 0.200
Pd3 Pd 0.500 0.500 0.400
Pd4 Pd 0.500 0.500 0.600
Pd5 Pd 0.500 0.500 0.800
Pd6 Pd 0.500 0.000 0.100
Pd7 Pd 0.500 0.000 0.300
Pd8 Pd 0.500 0.000 0.500
Pd9 Pd 0.500 0.000 0.700
Pd10 Pd 0.500 0.000 0.900
Pd11 Pd 0.000 0.500 0.100
Pd12 Pd 0.000 0.500 0.300
Pd13 Pd 0.000 0.500 0.500
Pd14 Pd 0.000 0.500 0.700
Pd15 Pd 0.000 0.500 0.900
Pt1 Pt 0.000 0.000 0.000
```



4.
Compound: PaNb2Si2
Source: the Alexandria database
Functional: PBE-GGA
Structure: relaxed

Summary:
Raw formation energy: -0.49 eV/atom
Distance to the lowest polymorph of the same formula: 0 meV per atom
Symmetry: Cmc2_1

Geometry as CIF:
```
data_PaNb2Si2
_chemical_formula_sum 'Pa2 Nb4 Si4'
_cell_length_a 3.715
_cell_length_b 6.439
_cell_length_c 8.280
_cell_angle_alpha 90.00
_cell_angle_beta 90.00
_cell_angle_gamma 106.77
_symmetry_space_group_name_H-M 'P 1'
_symmetry_Int_Tables_number 1
_symmetry_space_group_name_Hall 'P 1'
loop_
_atom_site_label
_atom_site_type_symbol
_atom_site_fract_x
_atom_site_fract_y
_atom_site_fract_z
Pa1 Pa 0.411 0.822 0.347
Pa2 Pa 0.589 0.178 0.847
Nb1 Nb 0.299 0.599 0.950
Nb2 Nb 0.701 0.401 0.450
Nb3 Nb 0.115 0.230 0.215
Nb4 Nb 0.885 0.770 0.715
Si1 Si 0.244 0.487 0.655
Si2 Si 0.756 0.513 0.155
Si3 Si 0.942 0.884 0.038
Si4 Si 0.058 0.116 0.538
```



5.
Compound: La8Tm2In
Source: the Alexandria database
Functional: PBE-GGA
Structure: relaxed

Summary:
ΔH_f (0 K): -0.08 eV/atom
Symmetry: C2/m

Geometry as CIF:
```
data_La8Tm2In
_chemical_formula_sum 'La8 Tm2 In1'
_cell_length_a 5.083
_cell_length_b 8.227
_cell_length_c 9.637
_cell_angle_alpha 105.34
_cell_angle_beta 105.29
_cell_angle_gamma 90.00
_symmetry_space_group_name_H-M 'P 1'
_symmetry_Int_Tables_number 1
_symmetry_space_group_name_Hall 'P 1'
loop_
_atom_site_label
_atom_site_type_symbol
_atom_site_fract_x
_atom_site_fract_y
_atom_site_fract_z
La1 La 0.592 0.450 0.184
La2 La 0.324 0.092 0.649
La3 La 0.137 0.179 0.274
La4 La 0.046 0.734 0.091
La5 La 0.863 0.821 0.726
La6 La 0.676 0.908 0.351
La7 La 0.408 0.550 0.816
La8 La 0.954 0.266 0.909
Tm1 Tm 0.227 0.633 0.453
Tm2 Tm 0.773 0.367 0.547
In1 In 0.500 0.000 0.000
```



6.
Compound: Th3P2Pt2Rh5
Source: the Alexandria database
Functional: PBE-GGA
Structure: relaxed

Summary:
ΔH_f (0 K): -1.07 eV/atom
Symmetry: I4/mmm

Geometry as CIF:
```
data_Th3P2Pt2Rh5
_chemical_formula_sum 'Th3 P2 Pt2 Rh5'
_cell_length_a 4.068
_cell_length_b 4.068
_cell_length_c 13.790
_cell_angle_alpha 98.48
_cell_angle_beta 98.48
_cell_angle_gamma 90.00
_symmetry_space_group_name_H-M 'P 1'
_symmetry_Int_Tables_number 1
_symmetry_space_group_name_Hall 'P 1'
loop_
_atom_site_label
_atom_site_type_symbol
_atom_site_fract_x
_atom_site_fract_y
_atom_site_fract_z
Th1 Th 0.171 0.171 0.341
Th2 Th 0.829 0.829 0.659
Th3 Th 0.000 0.000 0.000
P1 P 0.376 0.376 0.751
P2 P 0.624 0.624 0.249
Pt1 Pt 0.716 0.716 0.432
Pt2 Pt 0.284 0.284 0.568
Rh1 Rh 0.582 0.082 0.164
Rh2 Rh 0.418 0.918 0.836
Rh3 Rh 0.082 0.582 0.164
Rh4 Rh 0.918 0.418 0.836
Rh5 Rh 0.500 0.500 0.000
```



7.
Compound: Mg2PIr
Source: the Alexandria database
Functional: PBE-GGA
Structure: relaxed

Summary:
ΔH_f (0 K): -0.31 eV/atom
Symmetry: Pmmm

Geometry as CIF:
```
data_Mg2PIr
_chemical_formula_sum 'Mg2 P1 Ir1'
_cell_length_a 3.063
_cell_length_b 3.684
_cell_length_c 5.487
_cell_angle_alpha 90.00
_cell_angle_beta 90.00
_cell_angle_gamma 90.00
_symmetry_space_group_name_H-M 'P 1'
_symmetry_Int_Tables_number 1
_symmetry_space_group_name_Hall 'P 1'
loop_
_atom_site_label
_atom_site_type_symbol
_atom_site_fract_x
_atom_site_fract_y
_atom_site_fract_z
Ir1 Ir 0.500 0.500 0.750
Mg1 Mg 0.000 0.000 0.995
Mg2 Mg 0.000 0.000 0.505
P1 P 0.500 0.500 0.250
```



8.
Compound: CdCo2Br
Source: the Alexandria database
Functional: PBE-GGA
Structure: relaxed

Summary:
Raw formation energy: 0.90 eV/atom
Distance to the lowest polymorph of the same formula: 570 meV per atom
Symmetry: F-43m

Geometry as CIF:
```
data_CdCo2Br
_chemical_formula_sum 'Cd1 Co2 Br1'
_cell_length_a 4.584
_cell_length_b 4.584
_cell_length_c 4.584
_cell_angle_alpha 60.00
_cell_angle_beta 60.00
_cell_angle_gamma 60.00
_symmetry_space_group_name_H-M 'P 1'
_symmetry_Int_Tables_number 1
_symmetry_space_group_name_Hall 'P 1'
loop_
_atom_site_label
_atom_site_type_symbol
_atom_site_fract_x
_atom_site_fract_y
_atom_site_fract_z
Br1 Br 0.500 0.500 0.500
Cd1 Cd 0.750 0.750 0.750
Co1 Co 0.000 0.000 0.000
Co2 Co 0.250 0.250 0.250
```



9.
Compound: TaCuPbO5
Source: the Alexandria database
Functional: PBE-GGA
Structure: relaxed

Summary:
Raw formation energy: -1.59 eV/atom
Symmetry: C2/c

Geometry as CIF:
```
data_TaCuPbO5
_chemical_formula_sum 'Ta2 Cu2 Pb2 O10'
_cell_length_a 5.823
_cell_length_b 5.823
_cell_length_c 7.600
_cell_angle_alpha 102.15
_cell_angle_beta 102.15
_cell_angle_gamma 110.87
_symmetry_space_group_name_H-M 'P 1'
_symmetry_Int_Tables_number 1
_symmetry_space_group_name_Hall 'P 1'
loop_
_atom_site_label
_atom_site_type_symbol
_atom_site_fract_x
_atom_site_fract_y
_atom_site_fract_z
Ta1 Ta 0.000 0.000 0.500
Ta2 Ta 0.000 0.000 0.000
Cu1 Cu 0.676 0.324 0.250
Cu2 Cu 0.324 0.676 0.750
Pb1 Pb 0.328 0.672 0.250
Pb2 Pb 0.672 0.328 0.750
O1 O 0.058 0.942 0.250
O2 O 0.942 0.058 0.750
O3 O 0.872 0.270 0.086
O4 O 0.128 0.730 0.914
O5 O 0.730 0.128 0.414
O6 O 0.270 0.872 0.586
O7 O 0.721 0.642 0.418
O8 O 0.279 0.358 0.582
O9 O 0.358 0.279 0.082
O10 O 0.642 0.721 0.918
```



10.
Compound: La8IrAu3I4
Source: the Alexandria database
Functional: PBE-GGA
Structure: relaxed

Summary:
Raw formation energy: -0.96 eV/atom
Symmetry: R-3m

Geometry as CIF:
```
data_La8IrAu3I4
_chemical_formula_sum 'La8 Ir1 Au3 I4'
_cell_length_a 8.774
_cell_length_b 9.605
_cell_length_c 8.779
_cell_angle_alpha 117.22
_cell_angle_beta 119.98
_cell_angle_gamma 90.00
_symmetry_space_group_name_H-M 'P 1'
_symmetry_Int_Tables_number 1
_symmetry_space_group_name_Hall 'P 1'
loop_
_atom_site_label
_atom_site_type_symbol
_atom_site_fract_x
_atom_site_fract_y
_atom_site_fract_z
La1 La 0.224 0.696 0.973
La2 La 0.224 0.696 0.448
La3 La 0.266 0.297 0.531
La4 La 0.749 0.696 0.973
La5 La 0.251 0.304 0.027
La6 La 0.734 0.703 0.469
La7 La 0.776 0.304 0.552
La8 La 0.776 0.304 0.027
Ir1 Ir 0.000 0.500 0.000
Au1 Au 0.500 0.500 0.000
Au2 Au 0.500 0.500 0.500
Au3 Au 0.000 0.500 0.500
I1 I 0.500 0.000 0.000
I2 I 0.500 0.000 0.500
I3 I 0.000 0.000 0.000
I4 I 0.000 0.000 0.500
```



11.
Compound: Np2TiCuS5
Source: the Alexandria database
Functional: PBE-GGA
Structure: relaxed

Summary:
Raw formation energy: -1.20 eV/atom
Symmetry: Cmc2_1

Geometry as CIF:
```
data_Np2TiCuS5
_chemical_formula_sum 'Np4 Ti2 Cu2 S10'
_cell_length_a 3.714
_cell_length_b 8.293
_cell_length_c 11.144
_cell_angle_alpha 90.00
_cell_angle_beta 90.00
_cell_angle_gamma 102.94
_symmetry_space_group_name_H-M 'P 1'
_symmetry_Int_Tables_number 1
_symmetry_space_group_name_Hall 'P 1'
loop_
_atom_site_label
_atom_site_type_symbol
_atom_site_fract_x
_atom_site_fract_y
_atom_site_fract_z
Np1 Np 0.872 0.744 0.809
Np2 Np 0.112 0.225 0.691
Np3 Np 0.128 0.256 0.309
Np4 Np 0.888 0.775 0.191
Ti1 Ti 0.803 0.605 0.513
Ti2 Ti 0.197 0.395 0.013
Cu1 Cu 0.569 0.137 0.949
Cu2 Cu 0.431 0.863 0.449
S1 S 0.354 0.709 0.004
S2 S 0.696 0.393 0.856
S3 S 0.497 0.994 0.776
S4 S 0.287 0.574 0.664
S5 S 0.948 0.895 0.561
S6 S 0.646 0.291 0.504
S7 S 0.304 0.607 0.356
S8 S 0.503 0.006 0.276
S9 S 0.713 0.426 0.164
S10 S 0.052 0.105 0.061
```



12.
Compound: SrLi3Pt
Source: the Alexandria database
Functional: PBE-GGA
Structure: relaxed

Summary:
ΔH_f (0 K): -0.35 eV/atom
Distance to the lowest polymorph of the same formula: 0 meV per atom
Symmetry: P2_1/m

Geometry as CIF:
```
data_SrLi3Pt
_chemical_formula_sum 'Sr2 Li6 Pt2'
_cell_length_a 5.836
_cell_length_b 5.860
_cell_length_c 7.255
_cell_angle_alpha 90.00
_cell_angle_beta 113.58
_cell_angle_gamma 90.00
_symmetry_space_group_name_H-M 'P 1'
_symmetry_Int_Tables_number 1
_symmetry_space_group_name_Hall 'P 1'
loop_
_atom_site_label
_atom_site_type_symbol
_atom_site_fract_x
_atom_site_fract_y
_atom_site_fract_z
Sr1 Sr 0.725 0.948 0.903
Sr2 Sr 0.310 0.448 0.657
Li1 Li 0.860 0.448 0.156
Li2 Li 0.175 0.948 0.404
Li3 Li 0.750 0.190 0.482
Li4 Li 0.750 0.705 0.482
Li5 Li 0.284 0.690 0.079
Li6 Li 0.284 0.205 0.079
Pt1 Pt 0.891 0.448 0.817
Pt2 Pt 0.144 0.948 0.744
```



Values for size of the total moment, μB per atom, ordered as above
0.000, 0.000, 0.000, 0.000, 0.000, 0.000, 0.000, 0.751, 0.212, 0.000, 0.920, 0.000